1.
Here is an optimized crystal structure of Dy2ZnRh from Alexandria. Energies are from PBE-GGA.

Geometry as POSCAR:
```
Dy2ZnRh
1.0
4.4613 0.0000 0.0000
0.0000 5.3008 -1.9532
0.0000 -0.0561 7.5466
Dy Zn Rh
4 2 2
Direct
0.7500 0.2094 0.4341 Dy
0.2500 0.7906 0.5659 Dy
0.2500 0.7705 0.0758 Dy
0.7500 0.2295 0.9242 Dy
0.2500 0.3434 0.2137 Zn
0.7500 0.6566 0.7863 Zn
0.7500 0.6480 0.2858 Rh
0.2500 0.3520 0.7142 Rh
```

Output
ΔE_f (eV/atom): -0.631
Symmetry: P2_1/m



2.
Here is an optimized crystal structure of SrIrI2 from Alexandria. Energies are from PBE-GGA.

Geometry as POSCAR:
```
SrIrI2
1.0
-2.4378 0.1705 4.8317
-5.0082 -1.9756 0.5767
-0.8028 -4.5704 2.7901
I Sr Ir
2 1 1
Direct
0.2500 0.2500 0.2500 I
0.7500 0.7500 0.7500 I
0.0000 0.0000 0.0000 Sr
0.5000 0.5000 0.5000 Ir
```

Output
E_form (uncorrected) (eV/atom): 0.112
Relative energy among the computed polymorphs (meV per atom): 221
Symmetry: Fm-3m



3.
Here is an optimized crystal structure of ZrWCl2 from Alexandria. Energies are from PBE-GGA.

Geometry as POSCAR:
```
ZrWCl2
1.0
-2.0653 1.3011 3.4527
0.4010 -3.8542 1.6922
3.3316 1.0482 1.5979
Zr W Cl
1 1 2
Direct
0.0000 0.5000 0.5000 Zr
0.5000 0.0000 0.5000 W
0.0000 0.0000 0.0000 Cl
0.5000 0.5000 0.0000 Cl
```

Output
E_form (uncorrected) (eV/atom): 0.586
Relative energy among the computed polymorphs (meV per atom): 1092
Symmetry: P4/mmm



4.
Here is an optimized crystal structure of LiLaAl3 from Alexandria. Energies are from PBE-GGA.

Geometry as POSCAR:
```
LiLaAl3
1.0
-0.2525 -5.6990 -0.6981
2.2545 0.5443 -5.2583
5.2804 -0.5049 2.2117
Li Al La
1 3 1
Direct
0.5000 0.5000 0.5000 Li
0.0000 0.5000 0.0000 Al
0.0000 0.0000 0.5000 Al
0.5000 0.0000 0.0000 Al
0.0000 0.0000 0.0000 La
```

Output
ΔE_f (eV/atom): 1.011
Relative energy among the computed polymorphs (meV per atom): 1346
Symmetry: Pm-3m



5.
Here is an optimized crystal structure of YTi2Re from Alexandria. Energies are from PBE-GGA.

Geometry as POSCAR:
```
YTi2Re
1.0
4.1302 2.0885 0.7405
0.2059 3.9744 2.4759
1.8935 -0.0053 4.2876
Y Re Ti
1 1 2
Direct
0.0000 0.0000 0.0000 Y
0.5000 0.5000 0.5000 Re
0.2500 0.2500 0.2500 Ti
0.7500 0.7500 0.7500 Ti
```

Output
ΔE_f (eV/atom): 0.128
Relative energy among the computed polymorphs (meV per atom): 200
Symmetry: Fm-3m



6.
Here is an optimized crystal structure of NaPmPb from Alexandria. Energies are from PBE-GGA.

Geometry as POSCAR:
```
NaPmPb
1.0
5.5511 0.0003 0.0000
-2.7742 4.8082 0.0000
0.0000 0.0000 6.6262
Na Pm Pb
2 2 2
Direct
0.0000 0.5000 0.0000 Na
0.0000 0.5000 0.5000 Na
0.6666 0.8334 0.7500 Pm
0.3334 0.1666 0.2500 Pm
0.3332 0.1668 0.7500 Pb
0.6668 0.8332 0.2500 Pb
```

Output
ΔE_f (eV/atom): -0.405
Relative energy among the computed polymorphs (meV per atom): 0
Symmetry: P6_3/mmc



7.
Here is an optimized crystal structure of Nd3TeAsSe from Alexandria. Energies are from PBE-GGA.

Geometry as POSCAR:
```
Nd3TeAsSe
1.0
4.3463 0.0000 0.0000
0.0000 8.4724 0.4155
0.0000 -2.9492 10.2897
Nd Te As Se
6 2 2 2
Direct
0.2500 0.8184 0.5528 Nd
0.7500 0.8954 0.1048 Nd
0.7500 0.4739 0.1668 Nd
0.7500 0.1816 0.4472 Nd
0.2500 0.5261 0.8332 Nd
0.2500 0.1046 0.8952 Nd
0.7500 0.8087 0.7852 Te
0.2500 0.1913 0.2148 Te
0.2500 0.6729 0.1054 As
0.7500 0.3271 0.8946 As
0.2500 0.1717 0.6238 Se
0.7500 0.8283 0.3762 Se
```

Output
E_form (uncorrected) (eV/atom): -1.340
Symmetry: P2_1/m



8.
Here is an optimized crystal structure of CsSmCl2 from Alexandria. Energies are from PBE-GGA.

Geometry as POSCAR:
```
CsSmCl2
1.0
-1.9036 -0.1272 -3.3264
0.3021 -3.0792 -2.2655
-8.7640 -5.4654 3.0140
Cs Sm Cl
1 1 2
Direct
0.0000 0.0000 0.0000 Cs
0.5000 0.5000 0.5000 Sm
0.1060 0.1060 0.6819 Cl
0.8940 0.8940 0.3181 Cl
```

Output
E_form (uncorrected) (eV/atom): -1.345
Symmetry: R-3m



9.
Here is an optimized crystal structure of Tb4Dy3PaAs8 from Alexandria. Energies are from PBE-GGA.

Geometry as POSCAR:
```
Tb4Dy3PaAs8
1.0
-6.6587 -0.7177 -4.7989
4.1208 -5.1438 -4.9485
-0.5430 -1.5950 8.0647
Tb Dy Pa As
4 3 1 8
Direct
0.5000 0.0000 0.0000 Tb
0.5000 0.0000 0.5000 Tb
0.0000 0.0000 0.0000 Tb
0.0000 0.0000 0.5000 Tb
0.5000 0.5000 0.0000 Dy
0.5000 0.5000 0.5000 Dy
0.0000 0.5000 0.5000 Dy
0.0000 0.5000 0.0000 Pa
0.2470 0.7462 0.9991 As
0.2471 0.7462 0.4941 As
0.2504 0.2513 0.5009 As
0.7521 0.7462 0.9991 As
0.2479 0.2538 0.0009 As
0.7496 0.7487 0.4991 As
0.7529 0.2538 0.5059 As
0.7530 0.2538 0.0009 As
```

Output
ΔE_f (eV/atom): -1.489
Symmetry: R-3m



10.
Here is an optimized crystal structure of LiCoIr2 from Alexandria. Energies are from PBE-GGA.

Geometry as POSCAR:
```
LiCoIr2
1.0
8.8146 0.0032 0.0019
8.4055 2.6543 0.0019
8.4055 1.2972 2.3157
Co Ir Li
1 2 1
Direct
0.2500 0.2500 0.2500 Co
0.9968 0.9968 0.9968 Ir
0.5032 0.5032 0.5032 Ir
0.7500 0.7500 0.7500 Li
```

Output
ΔE_f (eV/atom): -0.032
Relative energy among the computed polymorphs (meV per atom): 2
Symmetry: R-3m



11.
Here is an optimized crystal structure of TiTeSeBr2 from Alexandria. Energies are from PBE-GGA.

Geometry as POSCAR:
```
TiTeSeBr2
1.0
4.9753 0.0000 0.0000
0.0000 4.9753 0.0000
0.0000 0.0000 5.3195
Te Se Br Ti
1 1 2 1
Direct
0.5000 0.5000 0.5000 Te
0.0000 0.0000 0.5000 Se
0.0000 0.5000 0.0000 Br
0.5000 0.0000 0.0000 Br
0.0000 0.0000 0.0000 Ti
```

Output
E_form (uncorrected) (eV/atom): -0.274
Relative energy among the computed polymorphs (meV per atom): 0
Symmetry: P4/mmm



12.
Here is an optimized crystal structure of Sc3AuO from Alexandria. Energies are from PBE-GGA.

Geometry as POSCAR:
```
Sc3AuO
1.0
3.5190 0.0000 -0.5935
0.0000 6.5158 0.0000
-2.0859 0.0000 9.0928
Sc Au O
6 2 2
Direct
0.9058 0.4963 0.1558 Sc
0.0942 0.5037 0.8442 Sc
0.9058 0.0037 0.1558 Sc
0.0942 0.9963 0.8442 Sc
0.6809 0.2500 0.4309 Sc
0.3191 0.7500 0.5691 Sc
0.4443 0.2500 0.6943 Au
0.5557 0.7500 0.3057 Au
0.0499 0.2500 0.2999 O
0.9501 0.7500 0.7001 O
```

Output
E_form (uncorrected) (eV/atom): -1.443
Symmetry: Pmmn



| no. | DFT total energy (Ry per atom) | size of the total moment (μB/f.u.) |
| --- | --- | --- |
| 1 | -0.37398 | 0.000 |
| 2 | -0.24248 | 1.111 |
| 3 | -0.41986 | 0.655 |
| 4 | -0.19130 | 0.000 |
| 5 | -0.62824 | 0.000 |
| 6 | -0.26931 | 0.000 |
| 7 | -0.41185 | 0.000 |
| 8 | -0.26910 | 0.146 |
| 9 | -0.47242 | 0.000 |
| 10 | -0.49371 | 2.740 |
| 11 | -0.28281 | 0.420 |
| 12 | -0.50630 | 0.000 |